Density functional theory data (PBE-GGA) for a geometry-optimized YTc2Br structure.

Unit cell a=7.654 b=7.654 c=6.068 alpha=50.90 beta=50.90 gamma=90.00
Positions (direct):
Tc: 0.375 0.453 0.750
Tc: 0.547 0.125 0.250
Tc: 0.875 0.797 0.750
Tc: 0.203 0.625 0.250
Y: 0.000 0.000 0.000
Y: 0.750 0.250 0.500
Br: 0.500 0.500 0.000
Br: 0.250 0.750 0.500

Results
- SG: I-42d, No. 122
- ΔE to the lowest computed polymorph: 886 meV per atom

Density functional theory data (PBE-GGA) for a geometry-optimized ZnInCl2 structure.

Unit cell a=4.221 b=6.479 c=3.998 alpha=90.00 beta=90.00 gamma=90.00
Positions (direct):
Cl: 0.000 0.000 0.000
Cl: 0.500 0.500 0.000
In: 0.500 0.000 0.500
Zn: 0.000 0.500 0.500

Results
- SG: Pmmm, No. 47
- ΔE to the lowest computed polymorph: 300 meV per atom

Density functional theory data (PBE-GGA) for a geometry-optimized CaTePd structure.

Unit cell a=8.601 b=4.616 c=4.617 alpha=120.01 beta=90.01 gamma=74.44
Positions (direct):
Te: 0.960 0.238 0.882
Te: 0.445 0.581 0.053
Ca: 0.223 0.396 0.460
Ca: 0.708 0.073 0.299
Pd: 0.477 0.893 0.709
Pd: 0.880 0.625 0.575

Results
- VASP energy: -27.0 eV per cell
- SG: R3m, No. 160

Density functional theory data (PBE-GGA) for a geometry-optimized Ho3Er4Tm5 structure.

Unit cell a=5.780 b=8.401 c=9.471 alpha=105.79 beta=72.23 gamma=69.88
Each line ends with the local moment (μB).
Positions (direct):
Tm: 0.787 0.540 0.886  0.02
Tm: 0.500 0.500 0.500  0.21
Tm: 0.213 0.460 0.114  0.02
Tm: 0.627 0.946 0.800  0.02
Tm: 0.373 0.054 0.200  0.02
Ho: 0.477 0.314 0.733  0.01
Ho: 0.000 0.500 0.500  0.22
Ho: 0.523 0.686 0.267  0.01
Er: 0.141 0.778 0.940  0.01
Er: 0.165 0.048 0.622  0.00
Er: 0.835 0.952 0.378  0.00
Er: 0.859 0.222 0.060  0.01

Results
- SG: C2/m, No. 12
- ΔE to the lowest computed polymorph: 232 meV per atom

Density functional theory data (PBE-GGA) for a geometry-optimized ReSiPb structure.

Unit cell a=3.210 b=3.210 c=6.410 alpha=90.00 beta=90.00 gamma=120.00
Positions (direct):
Si: 0.333 0.667 0.617
Re: 0.667 0.333 0.373
Pb: 0.000 0.000 0.010

Results
- SG: P3m1, No. 156
- ΔE to the lowest computed polymorph: 35 meV per atom

Density functional theory data (PBE-GGA) for a geometry-optimized BC4 structure.

Unit cell a=9.852 b=9.852 c=9.852 alpha=165.45 beta=165.27 gamma=20.76
Positions (direct):
C: 0.192 0.192 0.000
C: 0.413 0.413 0.000
C: 0.458 0.958 0.500
C: 0.006 0.006 0.000
C: 0.052 0.552 0.500
C: 0.237 0.737 0.500
C: 0.644 0.144 0.500
C: 0.598 0.598 0.000
B: 0.859 0.359 0.500
B: 0.791 0.791 0.000

Results
- SG: Imma, No. 74
- ΔE to the lowest computed polymorph: 4 meV per atom

Density functional theory data (PBE-GGA) for a geometry-optimized Ba2CdPb6 structure.

Unit cell a=4.877 b=5.028 c=13.349 alpha=90.00 beta=100.53 gamma=90.00
Positions (direct):
Pb: 0.210 0.500 0.420
Pb: 0.093 0.500 0.185
Pb: 0.889 0.500 0.778
Pb: 0.596 0.000 0.192
Pb: 0.461 0.500 0.923
Pb: 0.713 0.000 0.427
Cd: 0.779 0.500 0.559
Ba: 0.335 0.000 0.670
Ba: 0.992 0.000 0.984

Results
- SG: Amm2, No. 38
- ΔE to the lowest computed polymorph: 92 meV per atom

Density functional theory data (PBE-GGA) for a geometry-optimized LiTb3Dy3Te8 structure.

Unit cell a=8.691 b=8.691 c=8.694 alpha=119.99 beta=90.00 gamma=120.00
Positions (direct):
Te: 0.750 0.999 0.748
Te: 0.249 0.999 0.748
Te: 0.250 0.001 0.252
Te: 0.250 0.501 0.251
Te: 0.249 0.498 0.748
Te: 0.751 0.001 0.252
Te: 0.751 0.502 0.252
Te: 0.750 0.499 0.749
Tb: 0.000 0.500 0.000
Tb: 0.000 0.000 0.000
Tb: 0.500 0.500 0.000
Dy: 0.500 0.000 0.500
Dy: 0.000 0.500 0.500
Dy: 0.500 0.500 0.500
Li: 0.000 0.000 0.500

Results
- VASP energy: -74.8 eV per cell
- SG: R-3m, No. 166